# 1
Density functional theory data (PBE) for a relaxed BeCo2Os crystal.

Structure (POSCAR):
```
BeCo2Os
1.0
-3.193 -2.261 -0.521
-1.365 -2.203 2.977
-3.401 0.952 1.762
Co Os Be
2 1 1
direct
0.000 0.000 0.000
0.250 0.250 0.250
0.750 0.750 0.750
0.500 0.500 0.500
```

Calculated values
The value obtained for the formation energy is 0.08 eV per atom. As for the space-group type: No. 216.



# 2
Density functional theory data (PBE) for a relaxed Ca3Ge2Pd3 crystal.

Structure (POSCAR):
```
Ca3Ge2Pd3
1.0
-5.563 -1.325 -0.860
1.763 -2.783 -7.118
2.377 -13.894 6.021
Pd Ca Ge
12 12 8
direct
0.899 0.838 0.036
0.101 0.162 0.964
0.601 0.338 0.036
0.101 0.162 0.536
0.899 0.838 0.464
0.585 0.312 0.750
0.601 0.338 0.464
0.415 0.688 0.250
0.399 0.662 0.964
0.915 0.812 0.750
0.399 0.662 0.536
0.085 0.188 0.250
0.867 0.523 0.894
0.367 0.977 0.106
0.367 0.977 0.394
0.633 0.023 0.894
0.609 0.337 0.250
0.133 0.477 0.394
0.891 0.837 0.250
0.109 0.163 0.750
0.391 0.663 0.750
0.867 0.523 0.606
0.133 0.477 0.106
0.633 0.023 0.606
0.372 0.369 0.605
0.372 0.369 0.895
0.872 0.131 0.395
0.128 0.869 0.895
0.872 0.131 0.105
0.628 0.631 0.105
0.628 0.631 0.395
0.128 0.869 0.605
```

Calculated values
The value obtained for the formation energy is -0.79 eV per atom. As for the space-group type: No. 62.



# 3
Density functional theory data (PBE) for a relaxed Tb7Nd3Ho crystal.

Structure (POSCAR):
```
Tb7Nd3Ho
1.0
8.711 0.000 0.000
0.000 7.104 0.000
0.000 -3.552 6.152
Tb Nd Ho
7 3 1
direct
0.446 0.335 0.168
0.446 0.832 0.665
0.122 0.667 0.333
0.120 0.168 0.832
0.120 0.168 0.335
0.120 0.665 0.832
0.446 0.832 0.168
0.783 0.500 0.000
0.783 0.500 0.500
0.783 0.000 0.500
0.444 0.333 0.667
```

Calculated values
The value obtained for the formation energy is 0.17 eV per atom. Its relative energy among the computed polymorphs is 34 meV/atom. As for the space-group type: No. 156.



no.,total magnetic moment (μB per cell)
1,0.0
2,0.0
3,0.0